Compound: Pm4MgAg3
Source: Alexandria via LeMat-Bulk
Functional: PBE-GGA
Structure: relaxed

## Properties
Total moment: 0.0 μB per cell
Total energy: -3.8620 eV/atom
Offset from the most stable computed form: 0 meV per atom

Cell lengths 3.773, 5.306, 10.620 Å; angles 90.00, 90.00, 90.00 degrees
Space group Pmmm (No. 47)
One atom of each set of equivalent atoms:
Pm: 0.000 0.000 0.000 (multiplicity 1)
Pm: 0.000 0.000 0.500 (multiplicity 1)
Pm: 0.000 0.500 0.242 (multiplicity 2)
Mg: 0.500 0.500 0.500 (multiplicity 1)
Ag: 0.500 0.000 0.260 (multiplicity 2)
Ag: 0.500 0.500 0.000 (multiplicity 1)



Compound: Ce2CuIr
Source: Alexandria via LeMat-Bulk
Functional: PBE-GGA
Structure: relaxed

## Properties
Total moment: 0.0 μB per cell
Total energy: -6.0243 eV/atom

Cell lengths 2.9128, 2.9128, 32.1812 Å; angles 90.00, 90.00, 120.00 degrees
Space group R-3m (No. 166, hexagonal axes)
One atom of each set of equivalent atoms:
Ce: 0.0000 0.0000 0.0890 (multiplicity 6)
Cu: 0.0000 0.0000 0.0000 (multiplicity 3)
Ir: 0.0000 0.0000 0.5000 (multiplicity 3)



Compound: Sr2HfMnSe5
Source: Alexandria via LeMat-Bulk
Functional: PBE-GGA
Structure: relaxed

## Properties
Total moment: 20.0 μB per cell
Total energy: -5.8680 eV/atom
Formation energy without anion corrections: -1.434 eV/atom

Cell lengths 4.087, 18.070, 12.988 Å; angles 90.00, 90.00, 90.00 degrees
Space group Cmc2_1 (No. 36)
One atom of each set of equivalent atoms:
Sr: 0.000 0.106 0.000 (multiplicity 4)
Sr: 0.000 0.124 0.639 (multiplicity 4)
Hf: 0.000 0.210 0.349 (multiplicity 4)
Mn: 0.000 0.434 0.766 (multiplicity 4)
Se: 0.000 0.062 0.378 (multiplicity 4)
Se: 0.000 0.282 0.988 (multiplicity 4)
Se: 0.000 0.300 0.705 (multiplicity 4)
Se: 0.000 0.355 0.326 (multiplicity 4)
Se: 0.000 0.499 0.601 (multiplicity 4)